Entry 1
Density functional theory data (PBE) for crystalline MgCu2Se at its relaxed geometry.

Structure (POSCAR):
```
MgCu2Se
1.0
-2.019 -1.899 -2.280
2.959 -1.501 -1.370
-0.649 -7.532 6.848
Mg Se Cu
2 2 4
Cartesian
-1.464 -6.224 3.655
1.285 -3.008 1.367
-1.132 -2.369 0.150
0.953 -6.862 4.872
0.000 0.000 0.000
0.470 -1.700 -1.825
1.125 -4.869 3.060
-1.304 -4.363 1.963
```

As for the space-group type: No. 129. The calculated volume is 16.4 A^3/atom.

=====

Entry 2
Density functional theory data (PBE) for crystalline MgCu2Se at its relaxed geometry.

Structure (POSCAR):
```
MgCu2Se
1.0
3.718 0.000 0.000
0.000 3.718 0.000
1.859 1.859 9.756
Cu Mg Se
4 2 2
Cartesian
2.789 2.794 7.317
0.935 2.789 2.439
4.648 4.642 7.317
2.783 0.930 2.439
1.859 3.718 4.878
1.859 1.859 0.000
0.000 0.000 0.000
3.718 1.859 4.878
```

As for the space-group type: No. 122. The calculated volume is 16.9 A^3/atom.

=====

entry 1 is favored, and the nearest alternative lies 67 meV/atom above it.

=====

Entry 1
Density functional theory data (PBE) for crystalline Mg2Cu2Se at its relaxed geometry.

Structure (POSCAR):
```
Mg2Cu2Se
1.0
1.803 -8.327 0.000
1.803 8.327 0.000
0.000 0.000 6.269
Se Mg Cu
2 4 4
Cartesian
1.803 6.971 2.882
1.803 -6.971 6.017
1.803 0.512 1.684
1.803 -0.512 4.819
1.803 3.413 3.162
1.803 -3.413 0.027
1.803 3.021 0.410
1.803 -3.021 3.545
1.803 -6.982 3.558
1.803 6.982 0.424
```

As for the space-group type: No. 36. The calculated volume is 18.8 A^3/atom.

=====

Entry 2
Density functional theory data (PBE) for crystalline Mg2Cu2Se at its relaxed geometry.

Structure (POSCAR):
```
Mg2Cu2Se
1.0
2.181 -3.777 0.000
2.181 3.777 0.000
0.000 0.000 5.595
Cu Se Mg
2 1 2
Cartesian
2.181 -1.259 4.662
2.181 1.259 0.933
0.000 0.000 0.000
2.181 -1.259 1.935
2.181 1.259 3.660
```

As for the space-group type: No. 164. The calculated volume is 18.4 A^3/atom.

=====

Entry 3
Density functional theory data (PBE) for crystalline Mg2Cu2Se at its relaxed geometry.

Structure (POSCAR):
```
Mg2Cu2Se
1.0
-1.761 3.018 4.161
1.761 -3.018 4.161
1.761 3.018 -4.161
Se Mg Cu
1 2 2
Cartesian
0.000 0.000 0.000
1.761 0.000 2.319
0.000 3.018 1.842
1.761 1.849 0.000
0.000 1.169 4.161
```

As for the space-group type: No. 71. The calculated volume is 17.7 A^3/atom.

=====

Entry 4
Density functional theory data (PBE) for crystalline Mg2Cu2Se at its relaxed geometry.

Structure (POSCAR):
```
Mg2Cu2Se
1.0
5.360 -2.879 -0.570
5.641 1.987 1.254
0.862 -2.235 5.829
Mg Se Cu
4 2 4
Cartesian
9.875 -2.673 4.140
9.500 -0.594 1.586
1.988 -0.454 2.373
2.363 -2.533 4.927
6.097 -2.980 4.392
5.765 -0.147 2.120
4.111 -1.911 2.910
4.601 -2.010 6.206
7.262 -1.118 0.306
7.751 -1.216 3.603
```

As for the space-group type: No. 15. The calculated volume is 17.7 A^3/atom.

=====

entry 4 is favored, and the nearest alternative lies 24 meV/atom above it.

=====

Entry 1
Density functional theory data (PBE) for crystalline Mg2Cu2Se at its relaxed geometry.

Structure (POSCAR):
```
Mg2Cu2Se
1.0
-4.451 4.556 -1.376
1.306 -4.852 4.149
3.252 4.434 4.161
Mg Cu Se
4 4 2
Cartesian
-0.750 3.382 2.696
-2.376 1.165 0.616
0.857 0.756 4.239
-0.769 -1.461 2.158
2.644 0.321 6.163
-0.856 6.039 2.804
-2.537 3.817 0.772
0.963 -1.901 4.130
0.233 1.054 1.552
-0.126 3.084 5.383
```

As for the space-group type: No. 63. The calculated volume is 17.9 A^3/atom.

=====

Entry 2
Density functional theory data (PBE) for crystalline Mg2Cu2Se at its relaxed geometry.

Structure (POSCAR):
```
Mg2Cu2Se
1.0
3.641 -6.453 2.699
2.053 -3.884 6.548
-4.966 3.948 -4.684
Mg Se Cu
2 1 2
Cartesian
2.249 -4.082 3.652
3.446 -6.255 5.596
0.000 0.000 0.000
0.761 -3.837 1.320
-0.033 -2.552 3.244
```

As for the space-group type: No. 139. The calculated volume is 17.9 A^3/atom.

=====

Entry 3
Density functional theory data (PBE) for crystalline Mg2Cu2Se at its relaxed geometry.

Structure (POSCAR):
```
Mg2Cu2Se
1.0
1.897 -9.297 0.000
1.897 9.297 0.000
0.000 0.000 5.040
Mg Se Cu
4 2 4
Cartesian
1.897 -7.995 0.695
1.897 -4.246 4.457
1.897 4.246 1.937
1.897 7.995 3.215
1.897 6.976 0.586
1.897 -6.976 3.106
1.897 -0.534 1.232
1.897 -3.018 2.080
1.897 0.534 3.752
1.897 3.018 4.600
```

As for the space-group type: No. 36. The calculated volume is 17.8 A^3/atom.

=====

Entry 4
Density functional theory data (PBE) for crystalline Mg2Cu2Se at its relaxed geometry.

Structure (POSCAR):
```
Mg2Cu2Se
1.0
6.983 0.000 0.000
0.000 6.983 0.000
0.000 0.000 3.839
Cu Mg Se
4 4 2
Cartesian
0.864 2.627 1.920
2.627 6.119 1.920
4.355 0.864 1.920
6.119 4.355 1.920
5.872 2.380 0.000
1.111 4.602 0.000
2.380 1.111 0.000
4.602 5.872 0.000
0.000 0.000 0.000
3.491 3.491 0.000
```

As for the space-group type: No. 127. The calculated volume is 18.7 A^3/atom.

=====

entry 1 is favored, and the nearest alternative lies 71 meV/atom above it.

=====

Entry 1
Density functional theory data (PBE) for crystalline Mg2Cu2Se at its relaxed geometry.

Structure (POSCAR):
```
Mg2Cu2Se
1.0
-4.020 -0.753 4.961
-6.094 1.993 0.477
4.170 -3.071 -3.810
Mg Se Cu
2 1 2
Cartesian
-2.453 -1.602 1.935
-3.490 -0.229 -0.307
0.000 0.000 0.000
-6.092 0.747 3.276
-4.022 0.493 2.162
```

As for the space-group type: No. 139. The calculated volume is 18.4 A^3/atom.

=====

Entry 2
Density functional theory data (PBE) for crystalline Mg2Cu2Se at its relaxed geometry.

Structure (POSCAR):
```
Mg2Cu2Se
1.0
2.183 -4.622 0.000
2.183 4.622 0.000
0.000 0.000 5.001
Cu Mg Se
2 2 1
Cartesian
2.183 0.000 1.169
2.183 0.000 3.832
2.183 -3.185 0.000
2.183 3.185 0.000
0.000 0.000 2.501
```

As for the space-group type: No. 65. The calculated volume is 20.2 A^3/atom.

=====

entry 2 is favored, and the nearest alternative lies 180 meV/atom above it.

=====

Entry 1
Density functional theory data (PBE) for crystalline Mg2Cu2Se at its relaxed geometry.

Structure (POSCAR):
```
Mg2Cu2Se
1.0
1.884 -3.263 0.000
1.884 3.263 0.000
0.000 0.000 7.875
Cu Mg Se
2 2 1
Cartesian
1.884 -1.088 3.459
1.884 1.088 4.416
1.884 1.088 1.616
1.884 -1.088 6.259
0.000 0.000 0.000
```

As for the space-group type: No. 164. The calculated volume is 19.4 A^3/atom.

=====

Entry 2
Density functional theory data (PBE) for crystalline Mg2Cu2Se at its relaxed geometry.

Structure (POSCAR):
```
Mg2Cu2Se
1.0
1.888 4.764 -0.030
-1.888 4.764 -0.030
0.000 0.633 5.047
Se Mg Cu
1 2 2
Cartesian
0.000 0.000 0.000
0.000 2.927 1.292
0.000 7.234 3.695
0.000 5.734 1.443
0.000 4.427 3.545
```

As for the space-group type: No. 12. The calculated volume is 18.2 A^3/atom.

=====

Entry 3
Density functional theory data (PBE) for crystalline Mg2Cu2Se at its relaxed geometry.

Structure (POSCAR):
```
Mg2Cu2Se
1.0
-0.828 -3.359 -1.307
1.460 -1.539 3.029
-11.798 0.580 5.979
Mg Cu Se
4 4 2
Cartesian
-7.023 -0.388 5.443
-4.459 -1.480 1.397
0.000 0.000 0.000
0.316 -2.449 0.861
-5.899 0.290 2.990
-2.099 -1.596 0.201
-9.383 -0.272 6.639
-5.583 -2.158 3.851
-9.638 -1.226 4.021
-1.844 -0.643 2.819
```

As for the space-group type: No. 129. The calculated volume is 18.1 A^3/atom.

=====

entry 1 is favored, and the nearest alternative lies 104 meV/atom above it.